A relaxed Pb3C4 crystal, computed with PBE-GGA.

```
Pb3C4
1.0
4.993 0.000 0.000
0.000 4.993 0.000
0.000 0.000 4.993
Pb C
3 4
Direct
0.000 0.000 0.500
0.000 0.500 0.000
0.500 0.000 0.000
0.000 0.000 0.000
0.000 0.500 0.500
0.500 0.000 0.500
0.500 0.500 0.000
```

Energy of formation from the pure elements (eV/atom): 2.493
V (Å³/atom): 17.78
SG: Pm-3m
E above lowest polymorph (eV per atom): 0.586